This record from the Alexandria database describes crystalline Cs2AgB at its relaxed geometry. The functional is PBE.

Cell and atoms, written as CIF:
```
data_Cs2AgB
_chemical_formula_sum 'Cs8 Ag4 B4'
_cell_length_a 7.6210
_cell_length_b 7.6210
_cell_length_c 18.2547
_cell_angle_alpha 90.00
_cell_angle_beta 90.00
_cell_angle_gamma 90.00
_symmetry_space_group_name_H-M 'I -4 2 d'
_symmetry_Int_Tables_number 122
_symmetry_space_group_name_Hall 'I -4 2bw'
loop_
_atom_site_label
_atom_site_type_symbol
_atom_site_fract_x
_atom_site_fract_y
_atom_site_fract_z
Cs1 Cs 0.2090 0.2500 0.1250
Ag1 Ag 0.0000 0.0000 0.5000
B1 B 0.0000 0.0000 0.0000
```

Raw total energy   -1.60 eV/atom
Relative energy among the computed polymorphs   12.4 kJ per mole of atoms
Energy of formation from the pure elements   1.212 eV/atom
Size of the total moment   8.0 μB per cell

=====

This record from the Alexandria database describes crystalline CsAg3B at its relaxed geometry. The functional is PBE.

Cell and atoms, written as CIF:
```
data_CsAg3B
_chemical_formula_sum 'Cs1 Ag3 B1'
_cell_length_a 4.8102
_cell_length_b 4.8102
_cell_length_c 4.8102
_cell_angle_alpha 90.00
_cell_angle_beta 90.00
_cell_angle_gamma 90.00
_symmetry_space_group_name_H-M 'P m -3 m'
_symmetry_Int_Tables_number 221
_symmetry_space_group_name_Hall '-P 4 2 3'
loop_
_atom_site_label
_atom_site_type_symbol
_atom_site_fract_x
_atom_site_fract_y
_atom_site_fract_z
Cs1 Cs 0.0000 0.0000 0.0000
Ag1 Ag 0.0000 0.5000 0.5000
B1 B 0.5000 0.5000 0.5000
```

Raw total energy   -2.68 eV/atom
Relative energy among the computed polymorphs   0.0 kJ per mole of atoms
Energy of formation from the pure elements   0.541 eV/atom
Size of the total moment   0.0 μB per cell

=====

This record from the Alexandria database describes crystalline Cs2AgB at its relaxed geometry. The functional is PBE.

Cell and atoms, written as CIF:
```
data_Cs2AgB
_chemical_formula_sum 'Cs8 Ag4 B4'
_cell_length_a 8.7033
_cell_length_b 8.7033
_cell_length_c 8.7033
_cell_angle_alpha 90.00
_cell_angle_beta 90.00
_cell_angle_gamma 90.00
_symmetry_space_group_name_H-M 'F m -3 m'
_symmetry_Int_Tables_number 225
_symmetry_space_group_name_Hall '-F 4 2 3'
loop_
_atom_site_label
_atom_site_type_symbol
_atom_site_fract_x
_atom_site_fract_y
_atom_site_fract_z
Cs1 Cs 0.2500 0.2500 0.2500
Ag1 Ag 0.0000 0.0000 0.0000
B1 B 0.0000 0.0000 0.5000
```

Raw total energy   -1.73 eV/atom
Relative energy among the computed polymorphs   0.0 kJ per mole of atoms
Energy of formation from the pure elements   1.083 eV/atom
Size of the total moment   8.0 μB per cell

=====

This record from the Alexandria database describes crystalline CsAgB2F8 at its relaxed geometry. The functional is PBE.

Cell and atoms, written as CIF:
```
data_CsAgB2F8
_chemical_formula_sum 'Cs3 Ag3 B6 F24'
_cell_length_a 5.3322
_cell_length_b 5.3322
_cell_length_c 24.6573
_cell_angle_alpha 90.00
_cell_angle_beta 90.00
_cell_angle_gamma 120.00
_symmetry_space_group_name_H-M 'R -3'
_symmetry_Int_Tables_number 148
_symmetry_space_group_name_Hall '-R 3'
loop_
_atom_site_label
_atom_site_type_symbol
_atom_site_fract_x
_atom_site_fract_y
_atom_site_fract_z
Cs1 Cs 0.0000 0.0000 0.0000
Ag1 Ag 0.0000 0.0000 0.5000
B1 B 0.0000 0.0000 0.2448
F1 F 0.0000 0.0000 0.3026
F2 F 0.0121 0.2577 0.7736
```

Raw total energy   -5.34 eV/atom
Energy relative to the elements, uncorrected   -32.00 eV/f.u.
Size of the total moment   0.4 μB per cell

=====

This record from the Alexandria database describes crystalline CsAgB10H10 at its relaxed geometry. The functional is PBE.

Cell and atoms, written as CIF:
```
data_CsAgB10H10
_chemical_formula_sum 'Cs4 Ag4 B40 H40'
_cell_length_a 9.9596
_cell_length_b 11.0607
_cell_length_c 9.1241
_cell_angle_alpha 90.00
_cell_angle_beta 90.00
_cell_angle_gamma 90.00
_symmetry_space_group_name_H-M 'P b c m'
_symmetry_Int_Tables_number 57
_symmetry_space_group_name_Hall '-P 2c 2b'
loop_
_atom_site_label
_atom_site_type_symbol
_atom_site_fract_x
_atom_site_fract_y
_atom_site_fract_z
Cs1 Cs 0.1765 0.0593 0.2500
Ag1 Ag 0.4853 0.7500 0.0000
B1 B 0.1550 0.0870 0.7500
B2 B 0.1706 0.5433 0.1503
B3 B 0.2522 0.6628 0.2500
B4 B 0.2993 0.0765 0.6509
B5 B 0.3430 0.5777 0.1087
B6 B 0.4246 0.6477 0.2500
B7 B 0.4341 0.0065 0.7500
H1 H 0.0673 0.1613 0.7500
H2 H 0.0864 0.5701 0.0614
H3 H 0.2024 0.7385 0.7500
H4 H 0.3254 0.1547 0.5609
H5 H 0.3659 0.5946 0.5212
H6 H 0.4585 0.5550 0.7500
H7 H 0.4846 0.2217 0.2500
```

Raw total energy   -4.92 eV/atom
Size of the total moment   0.0 μB per cell

=====

This record from the Alexandria database describes crystalline CsAg2BP at its relaxed geometry. The functional is PBE.

Cell and atoms, written as CIF:
```
data_CsAg2BP
_chemical_formula_sum 'Cs1 Ag2 B1 P1'
_cell_length_a 5.2524
_cell_length_b 5.2524
_cell_length_c 4.1683
_cell_angle_alpha 90.00
_cell_angle_beta 90.00
_cell_angle_gamma 90.00
_symmetry_space_group_name_H-M 'P 4/m m m'
_symmetry_Int_Tables_number 123
_symmetry_space_group_name_Hall '-P 4 2'
loop_
_atom_site_label
_atom_site_type_symbol
_atom_site_fract_x
_atom_site_fract_y
_atom_site_fract_z
Cs1 Cs 0.0000 0.0000 0.0000
Ag1 Ag 0.0000 0.5000 0.5000
B1 B 0.5000 0.5000 0.0000
P1 P 0.5000 0.5000 0.5000
```

Raw total energy   -2.98 eV/atom
Energy of formation from the pure elements   0.752 eV/atom
Size of the total moment   0.0 μB per cell